Model P:
DFT (PBE with a Hubbard U) results for a relaxed structure of Mn5O8.

Computed properties:
Calculated volume, Å³/cell: 328
Total magnetization, μB per atom: 1.462

CIF file:
```
data_Mn5O8
_space_group_name_H-M_alt 'C 1 2/m 1'
_space_group_IT_number 12
_cell_length_a 10.5045
_cell_length_b 5.8058
_cell_length_c 7.2186
_cell_angle_alpha 90.00
_cell_angle_beta 131.85
_cell_angle_gamma 90.00
loop_
_space_group_symop_operation_xyz
'x,y,z'
'-x,-y,-z'
'-x,y,-z'
'x,-y,z'
'x+1/2,y+1/2,z'
'-x+1/2,-y+1/2,-z'
'-x+1/2,y+1/2,-z'
'x+1/2,-y+1/2,z'
loop_
_atom_site_label
_atom_site_fract_x
_atom_site_fract_y
_atom_site_fract_z
Mn1 0.0000 0.0000 0.0000
Mn2 0.0000 0.2522 0.5000
Mn3 0.2321 0.5000 0.9964
O1 0.0024 0.5000 0.6850
O2 0.0191 0.0000 0.7001
O3 0.2113 0.2328 0.1362
```

Model Q:
DFT (PBE with a Hubbard U) results for a relaxed structure of Mn5O8.

Computed properties:
Calculated volume, Å³/cell: 485
Total magnetization, μB per atom: 1.462

CIF file:
```
data_Mn5O8
_space_group_name_H-M_alt 'R -3 m'
_space_group_IT_number 166
_space_group_name_Hall '-R 3 2"'
_cell_length_a 6.0020
_cell_length_b 6.0020
_cell_length_c 15.5450
_cell_angle_alpha 90.00
_cell_angle_beta 90.00
_cell_angle_gamma 120.00
loop_
_atom_site_label
_atom_site_fract_x
_atom_site_fract_y
_atom_site_fract_z
Mn1 0.0000 0.0000 0.0000
Mn2 0.0000 0.0000 0.5000
Mn3 0.0000 0.5000 0.0000
O1 0.0000 0.0000 0.2700
O2 0.0293 0.5146 0.2668
```

Model R:
DFT (PBE with a Hubbard U) results for a relaxed structure of Mn5O8.

Computed properties:
Calculated volume, Å³/cell: 288
Total magnetization, μB per atom: 1.462

CIF file:
```
data_Mn5O8
_space_group_name_H-M_alt 'C 1 2/m 1'
_space_group_IT_number 12
_cell_length_a 10.4867
_cell_length_b 5.8611
_cell_length_c 4.9755
_cell_angle_alpha 90.00
_cell_angle_beta 109.42
_cell_angle_gamma 90.00
loop_
_space_group_symop_operation_xyz
'x,y,z'
'-x,-y,-z'
'-x,y,-z'
'x,-y,z'
'x+1/2,y+1/2,z'
'-x+1/2,-y+1/2,-z'
'-x+1/2,y+1/2,-z'
'x+1/2,-y+1/2,z'
loop_
_atom_site_label
_atom_site_fract_x
_atom_site_fract_y
_atom_site_fract_z
Mn1 0.0000 0.0000 0.0000
Mn2 0.0000 0.2588 0.5000
Mn3 0.2205 0.5000 0.1556
O1 0.1034 0.0000 0.4100
O2 0.1057 0.5000 0.4308
O3 0.1118 0.2260 0.8959
```

Relative energies, in kJ/mol of atoms, with the most stable structure set to zero: model P 4.1; model Q 6.7; model R 0.0.

Model P:
DFT (PBE with a Hubbard U) results for a relaxed structure of Mn5O7.

Computed properties:
Calculated volume, Å³/cell: 580
Total magnetization, μB per atom: 1.750

CIF file:
```
data_Mn5O7
_space_group_name_H-M_alt 'C m c m'
_space_group_IT_number 63
_space_group_name_Hall '-C 2c 2'
_cell_length_a 3.0174
_cell_length_b 10.3561
_cell_length_c 18.5664
_cell_angle_alpha 90.00
_cell_angle_beta 90.00
_cell_angle_gamma 90.00
loop_
_atom_site_label
_atom_site_fract_x
_atom_site_fract_y
_atom_site_fract_z
Mn1 0.0000 0.0000 0.0000
Mn2 0.0000 0.2663 0.0777
Mn3 0.0000 0.4756 0.6581
O1 0.0000 0.0944 0.6082
O2 0.0000 0.1432 0.1588
O3 0.0000 0.3594 0.5261
O4 0.0000 0.4573 0.2500
```

Model Q:
DFT (PBE with a Hubbard U) results for a relaxed structure of Mn5O7.

Computed properties:
Calculated volume, Å³/cell: 248
Total magnetization, μB per atom: 1.750

CIF file:
```
data_Mn5O7
_space_group_name_H-M_alt 'C 1 2/m 1'
_space_group_IT_number 12
_cell_length_a 9.8610
_cell_length_b 2.9856
_cell_length_c 8.7954
_cell_angle_alpha 90.00
_cell_angle_beta 106.36
_cell_angle_gamma 90.00
loop_
_space_group_symop_operation_xyz
'x,y,z'
'-x,-y,-z'
'-x,y,-z'
'x,-y,z'
'x+1/2,y+1/2,z'
'-x+1/2,-y+1/2,-z'
'-x+1/2,y+1/2,-z'
'x+1/2,-y+1/2,z'
loop_
_atom_site_label
_atom_site_fract_x
_atom_site_fract_y
_atom_site_fract_z
Mn1 0.0000 0.0000 0.0000
Mn2 0.1126 0.0000 0.4197
Mn3 0.1897 0.5000 0.8042
O1 0.0000 0.5000 0.5000
O2 0.0293 0.0000 0.7861
O3 0.1439 0.5000 0.0498
O4 0.2438 0.5000 0.3695
```

Relative energies, in kJ/mol of atoms, with the most stable structure set to zero: model P 12.7; model Q 0.0.

Model P:
DFT (PBE with a Hubbard U) results for a relaxed structure of MnOs3O.

Computed properties:
Calculated volume, Å³/cell: 69
Total magnetization, μB per atom: 0.779

CIF file:
```
data_MnOs3O
_space_group_name_H-M_alt 'P m -3 m'
_space_group_IT_number 221
_space_group_name_Hall '-P 4 2 3'
_cell_length_a 4.1021
_cell_length_b 4.1021
_cell_length_c 4.1021
_cell_angle_alpha 90.00
_cell_angle_beta 90.00
_cell_angle_gamma 90.00
loop_
_atom_site_label
_atom_site_fract_x
_atom_site_fract_y
_atom_site_fract_z
Mn1 0.0000 0.0000 0.0000
Os1 0.0000 0.5000 0.5000
O1 0.5000 0.5000 0.5000
```

Model Q:
DFT (PBE with a Hubbard U) results for a relaxed structure of MnOs3O.

Computed properties:
Calculated volume, Å³/cell: 86
Total magnetization, μB per atom: 0.729

CIF file:
```
data_MnOs3O
_space_group_name_H-M_alt 'P m -3 m'
_space_group_IT_number 221
_space_group_name_Hall '-P 4 2 3'
_cell_length_a 4.4217
_cell_length_b 4.4217
_cell_length_c 4.4217
_cell_angle_alpha 90.00
_cell_angle_beta 90.00
_cell_angle_gamma 90.00
loop_
_atom_site_label
_atom_site_fract_x
_atom_site_fract_y
_atom_site_fract_z
Mn1 0.0000 0.0000 0.0000
Os1 0.0000 0.0000 0.5000
O1 0.5000 0.5000 0.5000
```

Relative energies, in kJ/mol of atoms, with the most stable structure set to zero: model P 0.0; model Q 202.3.